Entry 1:
! Dy2MgCd4 (PBE, relaxed); values from VASP
! - size of the total moment (μB per formula unit) = 0.00
! - ΔH_f (0 K) (eV/atom) = 0.179
! - ΔE to the lowest computed polymorph (eV per formula unit) = 2.06
! - N(E_F) (states/eV/f.u.) = 6.79
&SYSTEM
  ibrav = 0, nat = 14, ntyp = 3
/
ATOMIC_SPECIES
Dy 162.50 Dy.upf
Mg 24.30 Mg.upf
Cd 112.41 Cd.upf
CELL_PARAMETERS angstrom
5.1019 0.0000 0.0000
0.0000 5.1019 0.0000
0.0000 0.0000 15.7074
ATOMIC_POSITIONS crystal
Dy 0.0000 0.0000 0.1212
Dy 0.0000 0.0000 0.8788
Dy 0.5000 0.5000 0.3788
Dy 0.5000 0.5000 0.6212
Mg 0.0000 0.0000 0.5000
Mg 0.5000 0.5000 0.0000
Cd 0.0000 0.0000 0.3181
Cd 0.0000 0.0000 0.6819
Cd 0.0000 0.5000 0.0000
Cd 0.0000 0.5000 0.5000
Cd 0.5000 0.0000 0.0000
Cd 0.5000 0.0000 0.5000
Cd 0.5000 0.5000 0.1819
Cd 0.5000 0.5000 0.8181

Entry 2:
! Ce2Mn2C3 (PBE, relaxed); values from VASP
! - size of the total moment (μB per formula unit) = 0.00
! - ΔH_f (0 K) (eV/atom) = -0.268
! - ΔE to the lowest computed polymorph (eV per formula unit) = 0.00
! - N(E_F) (states/eV/f.u.) = 7.85
&SYSTEM
  ibrav = 0, nat = 14, ntyp = 3
/
ATOMIC_SPECIES
Ce 140.12 Ce.upf
Mn 54.94 Mn.upf
C 12.01 C.upf
CELL_PARAMETERS angstrom
10.1486 0.0000 0.0000
0.0000 3.3997 0.0000
-1.2316 0.0000 5.4827
ATOMIC_POSITIONS crystal
Ce 0.1021 0.0000 0.3284
Ce 0.3979 0.5000 0.6716
Ce 0.6021 0.5000 0.3284
Ce 0.8979 0.0000 0.6716
Mn 0.1615 0.5000 0.9011
Mn 0.3385 0.0000 0.0989
Mn 0.6615 0.0000 0.9011
Mn 0.8385 0.5000 0.0989
C 0.0000 0.5000 0.0000
C 0.2135 0.0000 0.7774
C 0.2865 0.5000 0.2226
C 0.5000 0.0000 0.0000
C 0.7135 0.5000 0.7774
C 0.7865 0.0000 0.2226

Entry 3:
! Sr2Ag2Ge (PBE, relaxed); values from VASP
! - size of the total moment (μB per formula unit) = 0.00
! - ΔH_f (0 K) (eV/atom) = -0.317
! - ΔE to the lowest computed polymorph (eV per formula unit) = 0.21
! - N(E_F) (states/eV/f.u.) = 2.66
&SYSTEM
  ibrav = 0, nat = 10, ntyp = 3
/
ATOMIC_SPECIES
Sr 87.62 Sr.upf
Ag 107.87 Ag.upf
Ge 72.64 Ge.upf
CELL_PARAMETERS angstrom
5.8069 -2.4090 0.0000
5.8069 2.4090 0.0000
-3.7849 0.0000 9.6362
ATOMIC_POSITIONS crystal
Sr 0.1039 0.1039 0.3927
Sr 0.1718 0.1718 0.0545
Sr 0.8282 0.8282 0.9455
Sr 0.8961 0.8961 0.6073
Ag 0.3921 0.3921 0.3614
Ag 0.4817 0.4817 0.8529
Ag 0.5183 0.5183 0.1471
Ag 0.6079 0.6079 0.6386
Ge 0.2165 0.2165 0.7326
Ge 0.7835 0.7835 0.2674

Entry 4:
! Pm6Si3Ru (PBE, relaxed); values from VASP
! - size of the total moment (μB per formula unit) = 0.00
! - formation energy without anion corrections (eV per formula unit) = -3.4
! - N(E_F) (states/eV/f.u.) = 8.13
&SYSTEM
  ibrav = 0, nat = 20, ntyp = 3
/
ATOMIC_SPECIES
Pm 145.00 Pm.upf
Si 28.09 Si.upf
Ru 101.07 Ru.upf
CELL_PARAMETERS angstrom
6.5248 3.7671 4.0136
-6.5248 3.7671 4.0136
0.0000 -7.5342 4.0136
ATOMIC_POSITIONS crystal
Pm 0.0441 0.9378 0.6813
Pm 0.0622 0.3187 0.9559
Pm 0.1865 0.5677 0.4291
Pm 0.3187 0.9559 0.0622
Pm 0.4291 0.1865 0.5677
Pm 0.4323 0.5709 0.8135
Pm 0.5677 0.4291 0.1865
Pm 0.5709 0.8135 0.4323
Pm 0.6813 0.0441 0.9378
Pm 0.8135 0.4323 0.5709
Pm 0.9378 0.6813 0.0441
Pm 0.9559 0.0622 0.3187
Si 0.1247 0.2960 0.6252
Si 0.2960 0.6252 0.1247
Si 0.3748 0.8753 0.7040
Si 0.6252 0.1247 0.2960
Si 0.7040 0.3748 0.8753
Si 0.8753 0.7040 0.3748
Ru 0.0000 0.0000 0.0000
Ru 0.5000 0.5000 0.5000

Entry 5:
! Sm2Hg3Pb3 (PBE, relaxed); values from VASP
! - size of the total moment (μB per formula unit) = 0.00
! - ΔH_f (0 K) (eV/atom) = -0.382
! - N(E_F) (states/eV/f.u.) = 4.28
&SYSTEM
  ibrav = 0, nat = 8, ntyp = 3
/
ATOMIC_SPECIES
Sm 150.36 Sm.upf
Hg 200.59 Hg.upf
Pb 207.20 Pb.upf
CELL_PARAMETERS angstrom
4.7718 0.0000 0.0000
0.0000 4.8520 0.0000
0.0000 0.0000 9.3169
ATOMIC_POSITIONS crystal
Sm 0.0000 0.0000 0.2487
Sm 0.0000 0.0000 0.7513
Hg 0.0000 0.5000 0.0000
Hg 0.5000 0.5000 0.2424
Hg 0.5000 0.5000 0.7576
Pb 0.0000 0.5000 0.5000
Pb 0.5000 0.0000 0.0000
Pb 0.5000 0.0000 0.5000

Entry 6:
! SrH2W (PBE, relaxed); values from VASP
! - size of the total moment (μB per formula unit) = 0.00
! - ΔE to the lowest computed polymorph (eV per formula unit) = 0.00
! - N(E_F) (states/eV/f.u.) = 1.95
&SYSTEM
  ibrav = 0, nat = 16, ntyp = 3
/
ATOMIC_SPECIES
Sr 87.62 Sr.upf
H 1.01 H.upf
W 183.84 W.upf
CELL_PARAMETERS angstrom
5.3643 0.0000 0.0000
0.0000 5.3643 0.0000
0.0000 0.0000 7.5037
ATOMIC_POSITIONS crystal
Sr 0.0000 0.0000 0.0000
Sr 0.0000 0.5000 0.2500
Sr 0.5000 0.0000 0.7500
Sr 0.5000 0.5000 0.5000
H 0.1664 0.2500 0.6250
H 0.2500 0.6664 0.8750
H 0.2500 0.8336 0.3750
H 0.3336 0.2500 0.1250
H 0.6664 0.7500 0.1250
H 0.7500 0.1664 0.3750
H 0.7500 0.3336 0.8750
H 0.8336 0.7500 0.6250
W 0.0000 0.0000 0.5000
W 0.0000 0.5000 0.7500
W 0.5000 0.0000 0.2500
W 0.5000 0.5000 0.0000

Entry 7:
! ZrSc2Cd (PBE, relaxed); values from VASP
! - size of the total moment (μB per formula unit) = 0.01
! - ΔH_f (0 K) (eV/atom) = -0.075
! - ΔE to the lowest computed polymorph (eV per formula unit) = 0.39
! - N(E_F) (states/eV/f.u.) = 4.84
&SYSTEM
  ibrav = 0, nat = 12, ntyp = 3
/
ATOMIC_SPECIES
Zr 91.22 Zr.upf
Sc 44.96 Sc.upf
Cd 112.41 Cd.upf
CELL_PARAMETERS angstrom
3.2426 0.0000 0.0000
-1.6213 2.8081 0.0000
0.0000 0.0000 30.8092
ATOMIC_POSITIONS crystal
Zr 0.0000 0.0000 0.0000
Zr 0.3333 0.6667 0.6667
Zr 0.6667 0.3333 0.3333
Sc 0.0000 0.0000 0.2498
Sc 0.0000 0.0000 0.7502
Sc 0.3333 0.6667 0.4169
Sc 0.3333 0.6667 0.9165
Sc 0.6667 0.3333 0.0835
Sc 0.6667 0.3333 0.5831
Cd 0.0000 0.0000 0.5000
Cd 0.3333 0.6667 0.1667
Cd 0.6667 0.3333 0.8333

Entry 8:
! Ca2AlTcHg (PBE, relaxed); values from VASP
! - size of the total moment (μB per formula unit) = 2.40
! - ΔH_f (0 K) (eV/atom) = 0.815
! - N(E_F) (states/eV/f.u.) = 4.50
&SYSTEM
  ibrav = 0, nat = 5, ntyp = 4
/
ATOMIC_SPECIES
Ca 40.08 Ca.upf
Al 26.98 Al.upf
Tc 98.00 Tc.upf
Hg 200.59 Hg.upf
CELL_PARAMETERS angstrom
5.6512 0.0000 0.0000
0.0000 5.6512 0.0000
0.0000 0.0000 5.1362
ATOMIC_POSITIONS crystal
Ca 0.0000 0.5000 0.0000
Ca 0.5000 0.0000 0.0000
Al 0.0000 0.0000 0.5000
Tc 0.5000 0.5000 0.5000
Hg 0.5000 0.5000 0.0000

Entry 9:
! RbSn2Pb3 (PBE, relaxed); values from VASP
! - size of the total moment (μB per formula unit) = 0.00
! - ΔH_f (0 K) (eV/atom) = -0.037
! - ΔE to the lowest computed polymorph (eV per formula unit) = 0.00
! - N(E_F) (states/eV/f.u.) = 2.33
&SYSTEM
  ibrav = 0, nat = 12, ntyp = 3
/
ATOMIC_SPECIES
Rb 85.47 Rb.upf
Sn 118.71 Sn.upf
Pb 207.20 Pb.upf
CELL_PARAMETERS angstrom
9.4067 -2.6858 0.0000
9.4067 2.6858 0.0000
-4.9368 0.0000 8.2782
ATOMIC_POSITIONS crystal
Rb 0.1342 0.1342 0.1360
Rb 0.8658 0.8658 0.8640
Sn 0.1895 0.1895 0.6893
Sn 0.4996 0.4996 0.1596
Sn 0.5004 0.5004 0.8404
Sn 0.8105 0.8105 0.3107
Pb 0.0013 0.0013 0.6669
Pb 0.3280 0.3280 0.1314
Pb 0.3292 0.3292 0.5244
Pb 0.6708 0.6708 0.4756
Pb 0.6720 0.6720 0.8686
Pb 0.9987 0.9987 0.3331